[1]
This record from the Alexandria database describes crystalline Ti2TeAs at its relaxed geometry. The functional is PBE.

Properties
calculated volume: 109 Å³/f.u.
E_form (uncorrected): -18.8 kJ/mol of atoms
polymorph energy (0 for the lowest one): 535 meV/atom

a = 5.992 Å, b = 5.992 Å, c = 12.141 Å
α = 90.00°, β = 90.00°, γ = 90.00°
Space group I-42d (No. 122)
Unique sites:
Ti (0.215, 0.250, 0.125) (multiplicity 8)
Te (0.000, 0.000, 0.500) (multiplicity 4)
As (0.000, 0.000, 0.000) (multiplicity 4)

---

[2]
This record from the Alexandria database describes crystalline LaFe2Mo2 at its relaxed geometry. The functional is PBE.

Properties
calculated volume: 90 Å³/f.u.
calculated formation energy: 11.72 kJ per mole of atoms
polymorph energy (0 for the lowest one): 0 meV/atom

a = 4.227 Å, b = 4.227 Å, c = 10.062 Å
α = 90.00°, β = 90.00°, γ = 90.00°
Space group I4/mmm (No. 139)
Unique sites:
La (0.000, 0.000, 0.000) (multiplicity 2)
Fe (0.000, 0.000, 0.367) (multiplicity 4)
Mo (0.000, 0.500, 0.250) (multiplicity 4)

---

[3]
This record from the Alexandria database describes crystalline Hg2SbN at its relaxed geometry. The functional is PBE.

Properties
calculated volume: 99 Å³/f.u.
E_form (uncorrected): 81.6 kJ/mol of atoms
polymorph energy (0 for the lowest one): 0 meV/atom

a = 6.203 Å, b = 6.203 Å, c = 10.305 Å
α = 90.00°, β = 90.00°, γ = 90.00°
Space group I-42d (No. 122)
Unique sites:
Hg (0.149, 0.250, 0.125) (multiplicity 8)
Sb (0.000, 0.000, 0.500) (multiplicity 4)
N (0.000, 0.000, 0.000) (multiplicity 4)

---

[4]
This record from the Alexandria database describes crystalline RbScMn2 at its relaxed geometry. The functional is PBE.

Properties
calculated volume: 100 Å³/f.u.
calculated formation energy: 107.63 kJ per mole of atoms
polymorph energy (0 for the lowest one): 0 meV/atom

a = 7.370 Å, b = 7.370 Å, c = 7.370 Å
α = 90.00°, β = 90.00°, γ = 90.00°
Space group Fm-3m (No. 225)
Unique sites:
Rb (0.000, 0.000, 0.000) (multiplicity 4)
Sc (0.000, 0.000, 0.500) (multiplicity 4)
Mn (0.250, 0.250, 0.250) (multiplicity 8)

---

[5]
This record from the Alexandria database describes crystalline BaTa2Re at its relaxed geometry. The functional is PBE.

Properties
calculated volume: 80 Å³/f.u.
calculated formation energy: 105.95 kJ per mole of atoms
polymorph energy (0 for the lowest one): 595 meV/atom

a = 6.851 Å, b = 6.851 Å, c = 6.851 Å
α = 90.00°, β = 90.00°, γ = 90.00°
Space group Fm-3m (No. 225)
Unique sites:
Ba (0.000, 0.000, 0.000) (multiplicity 4)
Ta (0.250, 0.250, 0.250) (multiplicity 8)
Re (0.000, 0.000, 0.500) (multiplicity 4)

---

[6]
This record from the Alexandria database describes crystalline TbScTlPb at its relaxed geometry. The functional is PBE.

Properties
calculated volume: 105 Å³/f.u.
calculated formation energy: -28.94 kJ per mole of atoms

a = 7.491 Å, b = 7.491 Å, c = 7.491 Å
α = 90.00°, β = 90.00°, γ = 90.00°
Space group F-43m (No. 216)
Unique sites:
Tb (0.000, 0.000, 0.000) (multiplicity 4)
Sc (0.000, 0.000, 0.500) (multiplicity 4)
Tl (0.250, 0.250, 0.750) (multiplicity 4)
Pb (0.250, 0.250, 0.250) (multiplicity 4)

---

Number 1: magnetic moment 7.06 μB/cell. Number 2: magnetic moment 0.00 μB/cell. Number 3: magnetic moment 0.00 μB/cell. Number 4: magnetic moment 26.69 μB/cell. Number 5: magnetic moment 0.00 μB/cell. Number 6: magnetic moment 0.01 μB/cell.